## Zr3TaI (PBE-GGA)

Data for crystalline Zr3TaI at its relaxed geometry.

Cell: 5.1476 5.1476 5.1476 Å, 90.00 90.00 90.00°
With the nearest neighbours (Å) after each atom.
Sites, in units of the cell vectors:
Zr 0.0000 0.5000 0.0000  2 I 2.57
I 0.0000 0.0000 0.0000  6 Zr 2.57
Ta 0.5000 0.5000 0.5000  12 Zr 3.64
Zr 0.0000 0.0000 0.5000  2 I 2.57
Zr 0.5000 0.0000 0.0000  2 I 2.57

Values from the calculation:
symmetry: No. 221
formation energy without anion corrections: 1.256 eV/atom



## ZrTa2I (PBE-GGA)

Data for crystalline ZrTa2I at its relaxed geometry.

Cell: 4.1056 4.1056 10.8682 Å, 79.11 79.11 90.00°
With the nearest neighbours (Å) after each atom.
Sites, in units of the cell vectors:
Zr 0.2500 0.7500 0.5000  4 I 2.90, 4 Ta 2.99
Zr 0.5000 0.5000 0.0000  4 I 2.90, 4 Ta 2.99
I 0.7500 0.2500 0.5000  4 Zr 2.90, 4 Ta 2.99
Ta 0.3750 0.3755 0.7500  4 Ta 2.90-2.91, 2 Zr 2.99, 2 I 2.99
Ta 0.1255 0.6250 0.2500  4 Ta 2.90-2.91, 2 Zr 2.99, 2 I 2.99
I 0.0000 0.0000 0.0000  4 Zr 2.90, 4 Ta 2.99
Ta 0.6245 0.1250 0.2500  4 Ta 2.90-2.91, 2 Zr 2.99, 2 I 2.99
Ta 0.8750 0.8745 0.7500  4 Ta 2.90-2.91, 2 Zr 2.99, 2 I 2.99

Values from the calculation:
symmetry: No. 122
formation energy without anion corrections: 0.768 eV/atom



## Zr2TaI (PBE-GGA)

Data for crystalline Zr2TaI at its relaxed geometry.

Cell: 4.3014 4.3014 10.5947 Å, 78.29 78.29 90.00°
With the nearest neighbours (Å) after each atom.
Sites, in units of the cell vectors:
I 0.5000 0.5000 0.0000  4 Zr 2.96, 4 Ta 3.04
I 0.2500 0.7500 0.5000  4 Zr 2.96, 4 Ta 3.04
Zr 0.8750 0.8745 0.7500  2 I 2.96, 2 Ta 2.96, 4 Zr 3.04
Ta 0.0000 0.0000 0.0000  4 Zr 2.96, 4 I 3.04
Ta 0.7500 0.2500 0.5000  4 Zr 2.96, 4 I 3.04
Zr 0.6245 0.1250 0.2500  2 I 2.96, 2 Ta 2.96, 4 Zr 3.04
Zr 0.1255 0.6250 0.2500  2 I 2.96, 2 Ta 2.96, 4 Zr 3.04
Zr 0.3750 0.3755 0.7500  2 I 2.96, 2 Ta 2.96, 4 Zr 3.04

Values from the calculation:
symmetry: No. 122
formation energy without anion corrections: 0.736 eV/atom



| no. | V (Å³/cell) |
| --- | --- |
| 1 | 136.4 |
| 2 | 176.5 |
| 3 | 187.8 |